1.
Crystalline Mo2PRh at its relaxed geometry. Source: the Alexandria database, functional PBE.

a = 2.8623 Å, b = 2.8623 Å, c = 24.7534 Å
α = 90.00°, β = 90.00°, γ = 120.00°
Space group R-3m (No. 166, hexagonal axes)
Inequivalent atoms, fractional coordinates:
Mo1 0.0000 0.0000 0.2438 (multiplicity 6)
P1 0.0000 0.0000 0.5000 (multiplicity 3)
Rh1 0.0000 0.0000 0.0000 (multiplicity 3)

---

2.
Crystalline Mo2PRh at its relaxed geometry. Source: the Alexandria database, functional PBE.

a = 2.987 Å, b = 4.446 Å, c = 8.713 Å
α = 90.00°, β = 90.00°, γ = 90.00°
Space group Immm (No. 71)
Inequivalent atoms, fractional coordinates:
Mo1 0.000 0.000 0.222 (multiplicity 4)
P1 0.000 0.500 0.500 (multiplicity 2)
Rh1 0.000 0.500 0.000 (multiplicity 2)

---

Let's list formation energy from the elements in order: -30; -194 meV/atom.